(1)
The following is a DFT calculation (GGA-PBE) of a relaxed structure of Sr2Sn2Pd3.

Cell lengths 4.6379, 4.6379, 28.9802 Å; angles 90.00, 90.00, 120.00 degrees
Space group R3m (No. 160, hexagonal axes)
Inequivalent atoms, fractional coordinates:
Sr 0.0000 0.0000 0.0000
Sr 0.0000 0.0000 0.4942
Sn 0.0000 0.0000 0.2472
Sn 0.0000 0.0000 0.7465
Pd 0.0000 0.0000 0.3928
Pd 0.0000 0.0000 0.5987
Pd 0.0000 0.0000 0.8928

Summary:
The total energy is -4.50 eV per atom.

---

(2)
The following is a DFT calculation (GGA-PBE) of a relaxed structure of MgAlCoPb.

Cell lengths 6.567, 6.567, 6.567 Å; angles 90.00, 90.00, 90.00 degrees
Space group F-43m (No. 216)
Inequivalent atoms, fractional coordinates:
Mg 0.000 0.000 0.000
Al 0.250 0.250 0.750
Co 0.000 0.000 0.500
Pb 0.250 0.250 0.250

Summary:
The total energy is -3.74 eV per atom. For the energy relative to the lowest polymorph listed for this composition, the calculation gives 0.0 meV/atom.

---

(3)
The following is a DFT calculation (GGA-PBE) of a relaxed structure of Y2HoIn3Ir2Au.

Cell lengths 3.868, 13.234, 7.709 Å; angles 90.00, 90.00, 90.00 degrees
Space group Amm2 (No. 38)
Inequivalent atoms, fractional coordinates:
Y 0.000 0.204 0.000
Ho 0.000 0.000 0.614
In 0.500 0.000 0.937
In 0.500 0.135 0.339
Ir 0.500 0.164 0.703
Au 0.000 0.000 0.206

Summary:
The total energy is -5.89 eV per atom.

---

(4)
The following is a DFT calculation (GGA-PBE) of a relaxed structure of ErGaCo.

Cell lengths 6.128, 6.128, 6.128 Å; angles 90.00, 90.00, 90.00 degrees
Space group F-43m (No. 216)
Inequivalent atoms, fractional coordinates:
Er 0.000 0.000 0.000
Ga 0.000 0.000 0.500
Co 0.250 0.250 0.250

Summary:
The total energy is -5.16 eV per atom.

---

(5)
The following is a DFT calculation (GGA-PBE) of a relaxed structure of Tb2DyAgHg3Au2.

Cell lengths 3.756, 13.821, 7.987 Å; angles 90.00, 90.00, 90.00 degrees
Space group Amm2 (No. 38)
Inequivalent atoms, fractional coordinates:
Tb 0.000 0.201 0.000
Dy 0.000 0.000 0.605
Ag 0.000 0.000 0.202
Hg 0.500 0.000 0.931
Hg 0.500 0.135 0.337
Au 0.500 0.166 0.701

Summary:
The total energy is -3.27 eV per atom. The formation energy from the elements comes out at -0.588 eV/atom.

---

(6)
The following is a DFT calculation (GGA-PBE) of a relaxed structure of PrZnIn.

Cell lengths 7.154, 7.154, 7.154 Å; angles 90.00, 90.00, 90.00 degrees
Space group F-43m (No. 216)
Inequivalent atoms, fractional coordinates:
Pr 0.000 0.000 0.000
Zn 0.250 0.250 0.250
In 0.250 0.250 0.750

Summary:
The total energy is -2.85 eV per atom.